# 1
DFT (GGA-PBE) results for a relaxed SrTc2Ru crystal.

The space group is C2/m (No. 12) and the conventional cell measures 5.500, 9.566 and 2.767 Å, with angles of 90.00, 107.11 and 90.00 degrees. Symmetry generates all atoms from Sr at (0.000, 0.000, 0.000), Tc at (0.250, 0.250, 0.500) and Ru at (0.000, 0.500, 0.000).

The value obtained for the calculated density is 9.180 Mg/m³. The calculation puts the total energy at -6.97 eV per atom. The formation energy comes out at 0.9485 eV/atom. The value obtained for the energy above the most stable polymorph in this dataset is 0.413 eV per atom. The magnetic moment is 0.0 Bohr magnetons per cell.

# 2
DFT (GGA-PBE) results for a relaxed SrTcRu4 crystal.

The space group is F-43m (No. 216) and the conventional cell measures 7.404, 7.404 and 7.404 Å, with angles of 90.00, 90.00 and 90.00 degrees. Symmetry generates all atoms from Sr at (0.000, 0.000, 0.000), Tc at (0.250, 0.250, 0.750) and Ru at (0.124, 0.124, 0.376).

The value obtained for the calculated density is 9.653 Mg/m³. The calculation puts the total energy at -7.58 eV per atom. The formation energy comes out at 0.6100 eV/atom. The magnetic moment is 0.0 Bohr magnetons per cell.

# 3
DFT (GGA-PBE) results for a relaxed SrTc2Ru crystal.

The space group is R-3m (No. 166, hexagonal axes) and the conventional cell measures 2.8634, 2.8634 and 29.6220 Å, with angles of 90.00, 90.00 and 120.00 degrees. Symmetry generates all atoms from Sr at (0.0000, 0.0000, 0.0000), Tc at (0.0000, 0.0000, 0.2372) and Ru at (0.0000, 0.0000, 0.5000).

The value obtained for the calculated density is 9.111 Mg/m³. The calculation puts the total energy at -7.09 eV per atom. The formation energy comes out at 0.8318 eV/atom. The value obtained for the energy above the most stable polymorph in this dataset is 0.296 eV per atom. The magnetic moment is 0.0 Bohr magnetons per cell.

# 4
DFT (GGA-PBE) results for a relaxed SrTcRu crystal.

The space group is I4mm (No. 107) and the conventional cell measures 3.271, 3.271 and 11.952 Å, with angles of 90.00, 90.00 and 90.00 degrees. Symmetry generates all atoms from Sr at (0.000, 0.000, 0.000), Tc at (0.000, 0.000, 0.291) and Ru at (0.000, 0.000, 0.708).

The value obtained for the calculated density is 7.447 Mg/m³. The calculation puts the total energy at -6.67 eV per atom. The formation energy comes out at 0.4409 eV/atom. The value obtained for the energy above the most stable polymorph in this dataset is 0.034 eV per atom. The magnetic moment is 0.0 Bohr magnetons per cell.

# 5
DFT (GGA-PBE) results for a relaxed SrTc2Ru crystal.

The space group is Pmmm (No. 47) and the conventional cell measures 3.148, 4.573 and 4.877 Å, with angles of 90.00, 90.00 and 90.00 degrees. Symmetry generates all atoms from Sr at (0.000, 0.000, 0.000), Tc at (0.000, 0.500, 0.500), Tc at (0.500, 0.000, 0.500) and Ru at (0.500, 0.500, 0.000).

The value obtained for the calculated density is 9.097 Mg/m³. The calculation puts the total energy at -6.97 eV per atom. The formation energy comes out at 0.9537 eV/atom. The value obtained for the energy above the most stable polymorph in this dataset is 0.418 eV per atom. The magnetic moment is 0.0 Bohr magnetons per cell.

# 6
DFT (GGA-PBE) results for a relaxed SrTc2Ru crystal.

The space group is Pmm2 (No. 25) and the conventional cell measures 3.086, 3.320 and 7.514 Å, with angles of 90.00, 90.00 and 90.00 degrees. Symmetry generates all atoms from Sr at (0.000, 0.000, 0.000), Tc at (0.000, 0.000, 0.497), Tc at (0.500, 0.500, 0.336) and Ru at (0.500, 0.500, 0.692).

The value obtained for the calculated density is 8.297 Mg/m³. The calculation puts the total energy at -7.39 eV per atom. The formation energy comes out at 0.5356 eV/atom. The value obtained for the energy above the most stable polymorph in this dataset is 0.000 eV per atom. The magnetic moment is 0.0 Bohr magnetons per cell.

# 7
DFT (GGA-PBE) results for a relaxed SrTc2Ru crystal.

The space group is Cmmm (No. 65) and the conventional cell measures 5.350, 9.527 and 2.765 Å, with angles of 90.00, 90.00 and 90.00 degrees. Symmetry generates all atoms from Sr at (0.000, 0.000, 0.000), Tc at (0.250, 0.250, 0.500) and Ru at (0.000, 0.500, 0.000).

The value obtained for the calculated density is 9.066 Mg/m³. The calculation puts the total energy at -6.91 eV per atom. The formation energy comes out at 1.0132 eV/atom. The value obtained for the energy above the most stable polymorph in this dataset is 0.478 eV per atom. The magnetic moment is 0.2 Bohr magnetons per cell.

# 8
DFT (GGA-PBE) results for a relaxed SrTc2Ru crystal.

The space group is Fm-3m (No. 225) and the conventional cell measures 6.503, 6.503 and 6.503 Å, with angles of 90.00, 90.00 and 90.00 degrees. Symmetry generates all atoms from Sr at (0.000, 0.000, 0.000), Tc at (0.250, 0.250, 0.250) and Ru at (0.000, 0.000, 0.500).

The value obtained for the calculated density is 9.293 Mg/m³. The calculation puts the total energy at -6.94 eV per atom. The formation energy comes out at 0.9837 eV/atom. The value obtained for the energy above the most stable polymorph in this dataset is 0.448 eV per atom. The magnetic moment is 0.0 Bohr magnetons per cell.

# 9
DFT (GGA-PBE) results for a relaxed SrTc2Ru crystal.

The space group is R3m (No. 160, hexagonal axes) and the conventional cell measures 2.8883, 2.8883 and 28.9932 Å, with angles of 90.00, 90.00 and 120.00 degrees. Symmetry generates all atoms from Sr at (0.0000, 0.0000, 0.0000), Tc at (0.0000, 0.0000, 0.2368), Tc at (0.0000, 0.0000, 0.4986) and Ru at (0.0000, 0.0000, 0.7600).

The value obtained for the calculated density is 9.149 Mg/m³. The calculation puts the total energy at -7.16 eV per atom. The formation energy comes out at 0.7580 eV/atom. The value obtained for the energy above the most stable polymorph in this dataset is 0.222 eV per atom. The magnetic moment is 0.0 Bohr magnetons per cell.

# 10
DFT (GGA-PBE) results for a relaxed SrTc2Ru crystal.

The space group is F-43m (No. 216) and the conventional cell measures 6.523, 6.523 and 6.523 Å, with angles of 90.00, 90.00 and 90.00 degrees. Symmetry generates all atoms from Sr at (0.000, 0.000, 0.000), Tc at (0.000, 0.000, 0.500), Tc at (0.250, 0.250, 0.250) and Ru at (0.250, 0.250, 0.750).

The value obtained for the calculated density is 9.208 Mg/m³. The calculation puts the total energy at -7.09 eV per atom. The formation energy comes out at 0.8368 eV/atom. The value obtained for the energy above the most stable polymorph in this dataset is 0.301 eV per atom. The magnetic moment is 0.0 Bohr magnetons per cell.

# 11
DFT (GGA-PBE) results for a relaxed SrTc2Ru crystal.

The space group is P4/mmm (No. 123) and the conventional cell measures 2.814, 2.814 and 9.018 Å, with angles of 90.00, 90.00 and 90.00 degrees. Symmetry generates all atoms from Sr at (0.000, 0.000, 0.000), Tc at (0.500, 0.500, 0.298) and Ru at (0.000, 0.000, 0.500).

The value obtained for the calculated density is 8.948 Mg/m³. The calculation puts the total energy at -7.25 eV per atom. The formation energy comes out at 0.6770 eV/atom. The value obtained for the energy above the most stable polymorph in this dataset is 0.141 eV per atom. The magnetic moment is 0.0 Bohr magnetons per cell.

# 12
DFT (GGA-PBE) results for a relaxed SrTc2Ru crystal.

The space group is Immm (No. 71) and the conventional cell measures 2.855, 4.940 and 10.361 Å, with angles of 90.00, 90.00 and 90.00 degrees. Symmetry generates all atoms from Sr at (0.000, 0.000, 0.000), Tc at (0.000, 0.500, 0.213) and Ru at (0.000, 0.000, 0.500).

The value obtained for the calculated density is 8.742 Mg/m³. The calculation puts the total energy at -7.21 eV per atom. The formation energy comes out at 0.7156 eV/atom. The value obtained for the energy above the most stable polymorph in this dataset is 0.180 eV per atom. The magnetic moment is 0.0 Bohr magnetons per cell.